[1]
First-principles (PBE-GGA) data for an optimized crystal structure of BaHI2N, as listed in the Alexandria database.

Geometry as POSCAR:
```
BaHI2N
1.0
6.825 0.000 0.000
0.000 6.825 0.000
0.000 0.000 5.637
Ba H I N
1 1 2 1
Direct
0.000 0.000 0.000
0.500 0.500 0.500
0.000 0.500 0.000
0.500 0.000 0.000
0.000 0.000 0.500
```

Output
Spin magnetization, μB/cell: 4.10
Calculated density, g cm⁻³: 2.569
Relative energy among the computed polymorphs, meV per atom: 232

---

[2]
First-principles (PBE-GGA) data for an optimized crystal structure of Nd3Al8Au3, as listed in the Alexandria database.

Geometry as POSCAR:
```
Nd3Al8Au3
1.0
4.317 0.000 1.139
1.483 7.712 3.133
0.094 -0.419 8.397
Al Nd Au
8 3 3
Direct
0.857 0.422 0.864
0.863 0.858 0.416
0.498 0.699 0.305
0.339 0.035 0.287
0.143 0.578 0.136
0.137 0.142 0.584
0.661 0.965 0.713
0.502 0.301 0.695
0.698 0.304 0.300
0.302 0.696 0.700
0.000 0.000 0.000
0.000 0.500 0.500
0.655 0.703 0.986
0.345 0.297 0.014
```

Output
Spin magnetization, μB/cell: 0.00
Calculated density, g cm⁻³: 7.254
Relative energy among the computed polymorphs, meV per atom: 0
Formation enthalpy at 0 K, meV per atom: -576

---

[3]
First-principles (PBE-GGA) data for an optimized crystal structure of KHoTeS, as listed in the Alexandria database.

Geometry as POSCAR:
```
KHoTeS
1.0
-3.148 1.060 -2.583
2.653 -3.086 -1.072
-3.576 -5.054 5.710
K Te Ho S
1 1 1 1
Direct
0.977 0.387 0.378
0.108 0.952 0.075
0.287 0.541 0.844
0.506 0.151 0.672
```

Output
Spin magnetization, μB/cell: 0.00
Calculated density, g cm⁻³: 4.884
Energy relative to the elements, uncorrected, meV per atom: -1570